NaTi3Re: optimized geometry, GGA-PBEsol. Values from VASP.

Structure (Quantum ESPRESSO input):
```
&SYSTEM
  ibrav = 0, nat = 5, ntyp = 3
/
ATOMIC_SPECIES
Ti 47.87 Ti.upf
Na 22.99 Na.upf
Re 186.21 Re.upf
ATOMIC_POSITIONS crystal
Ti 0.000 0.000 0.500
Ti 0.500 0.000 0.000
Na 0.000 0.000 0.000
Re 0.500 0.500 0.500
Ti 0.000 0.500 0.000
CELL_PARAMETERS angstrom
4.417 0.000 0.000
0.000 4.417 0.000
0.000 0.000 4.417
```

Calculated values
Symmetry: No. 221
DOS(E_F), states/eV per atom: 2.21
Formation energy, eV/f.u.: 9.99